No. 1
Entry from the Alexandria database: PmScSn after structural relaxation (PBE-GGA).

Output
energy above the most stable polymorph in this dataset	0.71	eV/f.u.
formation energy from the elements	-0.40	eV/atom
N(E_F)	2.5	states/eV/cell

Cell: 3.8320 3.8320 6.1699 Å, 108.09 108.09 90.00°
Last column: nearest neighbours and their distance in Å.
Sites, in units of the cell vectors:
Sc: 0.6369 0.6369 0.2738  4 Sn 3.07, 5 Pm 3.43-3.44
Sn: 0.2670 0.2670 0.5341  4 Sc 3.07, 4 Pm 3.36
Pm: 0.9460 0.9460 0.8921  5 Sn 3.36-3.56, 5 Sc 3.43-3.44


No. 2
Entry from the Alexandria database: Mn3CrS8 after structural relaxation (PBE-GGA).

Output
N(E_F)	5.7	states/eV/cell
raw formation energy	-627	kJ/mol of formula units

Cell: 6.6663 6.6618 7.4828 Å, 116.71 90.00 120.02°
Last column: nearest neighbours and their distance in Å.
Sites, in units of the cell vectors:
Mn: 0.5000 0.0000 0.0000  6 S 2.34
Mn: 0.5000 0.5000 0.0000  6 S 2.34
Mn: 0.0000 0.5000 0.0000  6 S 2.34
Cr: 0.0000 0.0000 0.0000  6 S 2.36
S: 0.2631 0.5262 0.7915  3 Mn 2.34
S: 0.7369 0.4738 0.2085  3 Mn 2.34
S: 0.2658 0.0268 0.7901  2 Mn 2.34, 1 Cr 2.36
S: 0.7610 0.0268 0.7901  2 Mn 2.34, 1 Cr 2.36
S: 0.7610 0.5221 0.7901  2 Mn 2.34, 1 Cr 2.36
S: 0.2390 0.4779 0.2099  2 Mn 2.34, 1 Cr 2.36
S: 0.2390 0.9732 0.2099  2 Mn 2.34, 1 Cr 2.36
S: 0.7342 0.9732 0.2099  2 Mn 2.34, 1 Cr 2.36


No. 3
Entry from the Alexandria database: BaHg2Bi2 after structural relaxation (PBE-GGA).

Output
energy above the most stable polymorph in this dataset	0.29	eV/f.u.
formation energy from the elements	-0.36	eV/atom
N(E_F)	3.6	states/eV/cell

Cell: 5.3230 6.2768 12.7693 Å, 124.98 90.00 90.00°
Last column: nearest neighbours and their distance in Å.
Sites, in units of the cell vectors:
Ba: 0.7500 0.4282 0.2248  5 Hg 3.56-3.67, 5 Bi 3.85-3.92
Ba: 0.2500 0.5718 0.7752  5 Hg 3.56-3.67, 5 Bi 3.85-3.92
Hg: 0.7500 0.5296 0.5661  2 Hg 3.06, 3 Bi 3.13-3.31
Hg: 0.2500 0.4704 0.4339  2 Hg 3.06, 3 Bi 3.13-3.31
Hg: 0.7500 0.7288 0.9931  3 Bi 3.15-3.26
Hg: 0.2500 0.2712 0.0069  3 Bi 3.15-3.26
Bi: 0.7500 0.0991 0.8470  4 Hg 3.15-3.31, 1 Bi 3.25
Bi: 0.2500 0.9009 0.1530  4 Hg 3.15-3.31, 1 Bi 3.25
Bi: 0.7500 0.0449 0.5779  2 Hg 3.13-3.15, 3 Bi 3.17-3.25
Bi: 0.2500 0.9551 0.4221  2 Hg 3.13-3.15, 3 Bi 3.17-3.25


No. 4
Entry from the Alexandria database: Sm8BiSb5 after structural relaxation (PBE-GGA).

Output
N(E_F)	14.6	states/eV/cell
raw formation energy	-1360	kJ/mol of formula units

Cell: 8.1613 8.1613 8.1613 Å, 109.42 109.57 109.42°
Last column: nearest neighbours and their distance in Å.
Sites, in units of the cell vectors:
Sm: 0.1245 0.7546 0.0214  5 Sb 3.13-3.40, 1 Bi 3.19
Sm: 0.9786 0.1031 0.7332  5 Sb 3.13-3.40, 1 Bi 3.19
Sm: 0.7627 0.2476 0.3712  5 Sb 3.12-3.40, 1 Bi 3.42
Sm: 0.6288 0.3916 0.8764  5 Sb 3.12-3.40, 1 Bi 3.42
Sm: 0.4849 0.6084 0.2373  5 Sb 3.12-3.40, 1 Bi 3.42
Sm: 0.6301 0.8969 0.8755  5 Sb 3.13-3.40, 1 Bi 3.19
Sm: 0.2668 0.2454 0.3699  5 Sb 3.13-3.40, 1 Bi 3.19
Sm: 0.1236 0.7524 0.5151  5 Sb 3.12-3.40, 1 Bi 3.42
Bi: 0.2500 0.5000 0.7500  8 Sm 3.19-3.42
Sb: 0.0029 0.3770 0.1275  8 Sm 3.12-3.40
Sb: 0.8725 0.8754 0.2495  8 Sm 3.12-3.40
Sb: 0.7505 0.6230 0.6259  8 Sm 3.12-3.40
Sb: 0.5000 0.0000 0.5000  8 Sm 3.14-3.37
Sb: 0.3741 0.1246 0.9971  8 Sm 3.12-3.40


No. 5
Entry from the Alexandria database: Y2CdW after structural relaxation (PBE-GGA).

Output
formation energy from the elements	0.49	eV/atom
N(E_F)	4.2	states/eV/cell

Cell: 5.1634 5.1634 6.3450 Å, 82.86 82.86 35.02°
Last column: nearest neighbours and their distance in Å.
Sites, in units of the cell vectors:
Cd: 0.7500 0.7500 0.7500  2 Cd 3.11, 6 Y 3.12-3.23
W: 0.2500 0.2500 0.2500  6 Y 3.08-3.09, 2 W 3.11
Y: 0.9952 0.9952 0.0156  3 W 3.08-3.09, 4 Y 3.11-3.37, 3 Cd 3.12-3.23
Y: 0.5048 0.5048 0.4844  3 W 3.08-3.09, 4 Y 3.11-3.37, 3 Cd 3.12-3.23


No. 6
Entry from the Alexandria database: PrYPa4 after structural relaxation (PBE-GGA).

Output
formation energy from the elements	0.25	eV/atom
N(E_F)	15.8	states/eV/cell

Cell: 6.1883 6.1883 6.1883 Å, 60.00 60.00 60.00°
Last column: nearest neighbours and their distance in Å.
Sites, in units of the cell vectors:
Pr: 0.2500 0.2500 0.2500  12 Pa 3.63, 4 Y 3.79
Y: 0.0000 0.0000 0.0000  12 Pa 3.63, 4 Pr 3.79
Pa: 0.6251 0.6251 0.1246  6 Pa 3.09-3.10
Pa: 0.6251 0.1246 0.6251  6 Pa 3.09-3.10
Pa: 0.6251 0.6251 0.6251  6 Pa 3.09-3.10
Pa: 0.1246 0.6251 0.6251  6 Pa 3.09-3.10


No. 7
Entry from the Alexandria database: HoZrCu10 after structural relaxation (PBE-GGA).

Output
formation energy from the elements	-0.12	eV/atom
N(E_F)	9.5	states/eV/cell

Cell: 4.0905 4.9698 8.5524 Å, 90.00 90.00 90.00°
Last column: nearest neighbours and their distance in Å.
Sites, in units of the cell vectors:
Ho: 0.0000 0.0000 0.0000  10 Cu 2.89-3.22
Zr: 0.0000 0.5000 0.5000  6 Cu 2.80-2.85
Cu: 0.0000 0.0000 0.3375  6 Cu 2.47-2.50
Cu: 0.0000 0.5000 0.8280  6 Cu 2.49-2.52
Cu: 0.0000 0.5000 0.1720  6 Cu 2.49-2.52
Cu: 0.0000 0.0000 0.6625  6 Cu 2.47-2.50
Cu: 0.5000 0.0000 0.5000  8 Cu 2.44-2.47
Cu: 0.5000 0.5000 0.0000  8 Cu 2.50-2.52
Cu: 0.5000 0.2531 0.2552  8 Cu 2.44-2.52
Cu: 0.5000 0.7469 0.7448  8 Cu 2.44-2.52
Cu: 0.5000 0.7469 0.2552  8 Cu 2.44-2.52
Cu: 0.5000 0.2531 0.7448  8 Cu 2.44-2.52


No. 8
Entry from the Alexandria database: CdReBr2 after structural relaxation (PBE-GGA).

Output
energy above the most stable polymorph in this dataset	1.13	eV/f.u.
N(E_F)	2.8	states/eV/cell
raw formation energy	208	kJ/mol of formula units

Cell: 3.3094 3.3094 10.6315 Å, 90.00 90.00 124.51°
Last column: nearest neighbours and their distance in Å.
Sites, in units of the cell vectors:
Re: 0.5000 0.5000 0.7500  4 Br 2.54
Br: 0.0000 0.0000 0.9404  2 Re 2.54
Br: 0.0000 0.0000 0.5596  2 Re 2.54
Cd: 0.5000 0.5000 0.2500  6 Cd 3.08-3.31


No. 9
Entry from the Alexandria database: RbTi2SbO6 after structural relaxation (PBE-GGA).

Output
N(E_F)	0.0	states/eV/cell
raw formation energy	-2342	kJ/mol of formula units

Cell: 6.2839 7.8292 7.8292 Å, 85.32 76.83 76.83°
Last column: nearest neighbours and their distance in Å.
Sites, in units of the cell vectors:
Rb: 0.2500 0.8962 0.1038  4 O 2.78-2.79
Rb: 0.7500 0.1038 0.8962  4 O 2.78-2.79
Ti: 0.2882 0.8342 0.6449  4 O 1.77-1.89
Ti: 0.2118 0.3551 0.1658  4 O 1.77-1.89
Ti: 0.7118 0.1658 0.3551  4 O 1.77-1.89
Ti: 0.7882 0.6449 0.8342  4 O 1.77-1.89
Sb: 0.2500 0.3089 0.6911  4 O 2.00-2.21
Sb: 0.7500 0.6911 0.3089  4 O 2.00-2.21
O: 0.1944 0.0651 0.7131  1 Ti 1.85, 1 Sb 2.00
O: 0.3056 0.2869 0.9349  1 Ti 1.85, 1 Sb 2.00
O: 0.8056 0.9349 0.2869  1 Ti 1.85, 1 Sb 2.00
O: 0.6944 0.7131 0.0651  1 Ti 1.85, 1 Sb 2.00
O: 0.3954 0.8142 0.4161  1 Ti 1.77
O: 0.1046 0.5839 0.1858  1 Ti 1.77
O: 0.6046 0.1858 0.5839  1 Ti 1.77
O: 0.8954 0.4161 0.8142  1 Ti 1.77
O: 0.0278 0.7449 0.7283  2 Ti 1.85-1.89
O: 0.4722 0.2717 0.2551  2 Ti 1.85-1.89
O: 0.9722 0.2551 0.2717  2 Ti 1.85-1.89
O: 0.5278 0.7283 0.7449  2 Ti 1.85-1.89


No. 10
Entry from the Alexandria database: PrTm2Au3 after structural relaxation (PBE-GGA).

Output
formation energy from the elements	-0.85	eV/atom
N(E_F)	2.6	states/eV/cell

Cell: 3.5794 3.5794 11.0300 Å, 90.00 90.00 90.00°
Last column: nearest neighbours and their distance in Å.
Sites, in units of the cell vectors:
Pr: 0.5000 0.5000 0.5000  8 Au 3.28, 4 Pr 3.58
Tm: 0.5000 0.5000 0.8390  8 Au 3.02-3.09
Tm: 0.5000 0.5000 0.1610  8 Au 3.02-3.09
Au: 0.0000 0.0000 0.0000  8 Tm 3.09, 2 Au 3.42
Au: 0.0000 0.0000 0.6898  4 Tm 3.02, 4 Pr 3.28
Au: 0.0000 0.0000 0.3102  4 Tm 3.02, 4 Pr 3.28


No. 11
Entry from the Alexandria database: BeBO2 after structural relaxation (PBE-GGA).

Output
energy above the most stable polymorph in this dataset	0.84	eV/f.u.
N(E_F)	1.4	states/eV/cell
raw formation energy	-488	kJ/mol of formula units

Cell: 3.8749 3.8749 4.6475 Å, 65.36 65.36 90.00°
Last column: nearest neighbours and their distance in Å.
Sites, in units of the cell vectors:
Be: 0.5000 0.5000 0.0000  4 O 1.75
Be: 0.2500 0.7500 0.5000  4 O 1.75
B: 0.0000 0.0000 0.0000  4 O 1.58
B: 0.7500 0.2500 0.5000  4 O 1.58
O: 0.6614 0.1250 0.2500  2 B 1.58, 2 Be 1.75
O: 0.0886 0.6250 0.2500  2 B 1.58, 2 Be 1.75
O: 0.3750 0.3386 0.7500  2 B 1.58, 2 Be 1.75
O: 0.8750 0.9114 0.7500  2 B 1.58, 2 Be 1.75


No. 12
Entry from the Alexandria database: ErSb6Rh12 after structural relaxation (PBE-GGA).

Output
N(E_F)	13.5	states/eV/cell
raw formation energy	-507	kJ/mol of formula units

Cell: 7.4961 7.4961 7.4961 Å, 106.95 106.95 106.95°
Last column: nearest neighbours and their distance in Å.
Sites, in units of the cell vectors:
Er: 0.0000 0.0000 0.0000  6 Rh 3.09
Sb: 0.7043 0.2696 0.2696  7 Rh 2.55-2.75
Sb: 0.2696 0.2696 0.7043  7 Rh 2.55-2.75
Sb: 0.2696 0.7043 0.2696  7 Rh 2.55-2.75
Sb: 0.7304 0.7304 0.2957  7 Rh 2.55-2.75
Sb: 0.2957 0.7304 0.7304  7 Rh 2.55-2.75
Sb: 0.7304 0.2957 0.7304  7 Rh 2.55-2.75
Rh: 0.8774 0.1226 0.5000  4 Sb 2.55-2.59
Rh: 0.8398 0.6084 0.6084  3 Sb 2.68-2.75, 4 Rh 2.79-2.95
Rh: 0.6084 0.6084 0.8398  3 Sb 2.68-2.75, 4 Rh 2.79-2.95
Rh: 0.3916 0.1602 0.3916  3 Sb 2.68-2.75, 4 Rh 2.79-2.95
Rh: 0.3916 0.3916 0.1602  3 Sb 2.68-2.75, 4 Rh 2.79-2.95
Rh: 0.1602 0.3916 0.3916  3 Sb 2.68-2.75, 4 Rh 2.79-2.95
Rh: 0.1226 0.5000 0.8774  4 Sb 2.55-2.59
Rh: 0.5000 0.8774 0.1226  4 Sb 2.55-2.59
Rh: 0.1226 0.8774 0.5000  4 Sb 2.55-2.59
Rh: 0.8774 0.5000 0.1226  4 Sb 2.55-2.59
Rh: 0.5000 0.1226 0.8774  4 Sb 2.55-2.59
Rh: 0.6084 0.8398 0.6084  3 Sb 2.68-2.75, 4 Rh 2.79-2.95


No. 13
Entry from the Alexandria database: TaIn2BiO after structural relaxation (PBE-GGA).

Output
N(E_F)	4.7	states/eV/cell
raw formation energy	-74	kJ/mol of formula units

Cell: 5.4718 3.9234 5.4718 Å, 90.00 90.00 90.00°
Last column: nearest neighbours and their distance in Å.
Sites, in units of the cell vectors:
In: 0.0000 0.0000 0.5000  2 O 2.74
In: 0.5000 0.0000 0.0000  2 O 2.74
Bi: 0.5000 0.5000 0.5000  8 In 3.37
O: 0.0000 0.0000 0.0000  2 Ta 1.96
Ta: 0.0000 0.5000 0.0000  2 O 1.96


No. 14
Entry from the Alexandria database: KSrPd3 after structural relaxation (PBE-GGA).

Output
energy above the most stable polymorph in this dataset	0.58	eV/f.u.
formation energy from the elements	0.62	eV/atom
N(E_F)	2.1	states/eV/cell

Cell: 5.1724 5.1724 5.1724 Å, 90.00 90.00 90.00°
Last column: nearest neighbours and their distance in Å.
Sites, in units of the cell vectors:
Sr: 0.5000 0.5000 0.5000  12 Pd 3.66
K: 0.0000 0.0000 0.0000  6 Pd 2.59
Pd: 0.0000 0.5000 0.0000  2 K 2.59
Pd: 0.0000 0.0000 0.5000  2 K 2.59
Pd: 0.5000 0.0000 0.0000  2 K 2.59


No. 15
Entry from the Alexandria database: PrTh2In9 after structural relaxation (PBE-GGA).

Output
formation energy from the elements	-0.39	eV/atom
N(E_F)	5.5	states/eV/cell

Cell: 4.7404 4.7404 14.2031 Å, 90.00 90.00 90.00°
Last column: nearest neighbours and their distance in Å.
Sites, in units of the cell vectors:
Pr: 0.0000 0.0000 0.0000  12 In 3.35
Th: 0.0000 0.0000 0.3335  12 In 3.35-3.36
Th: 0.0000 0.0000 0.6665  12 In 3.35-3.36
In: 0.5000 0.5000 0.0000  8 In 3.35, 4 Pr 3.35
In: 0.5000 0.5000 0.3330  8 In 3.35, 4 Th 3.35
In: 0.5000 0.5000 0.6670  8 In 3.35, 4 Th 3.35
In: 0.5000 0.0000 0.1662  8 In 3.35, 2 Pr 3.35, 2 Th 3.36
In: 0.5000 0.0000 0.5000  4 Th 3.35, 8 In 3.35
In: 0.5000 0.0000 0.8338  8 In 3.35, 2 Pr 3.35, 2 Th 3.36
In: 0.0000 0.5000 0.1662  8 In 3.35, 2 Pr 3.35, 2 Th 3.36
In: 0.0000 0.5000 0.5000  4 Th 3.35, 8 In 3.35
In: 0.0000 0.5000 0.8338  8 In 3.35, 2 Pr 3.35, 2 Th 3.36


No. 16
Entry from the Alexandria database: Ac2Bi4Pb after structural relaxation (PBE-GGA).

Output
energy above the most stable polymorph in this dataset	0.23	eV/f.u.
formation energy from the elements	-0.51	eV/atom
N(E_F)	5.9	states/eV/cell

Cell: 7.1965 7.1965 7.0890 Å, 120.50 120.50 89.84°
Last column: nearest neighbours and their distance in Å.
Sites, in units of the cell vectors:
Ac: 0.2858 0.7856 0.5714  8 Bi 3.54-3.56, 2 Pb 3.60
Ac: 0.7856 0.2858 0.5714  8 Bi 3.54-3.56, 2 Pb 3.60
Bi: 0.7859 0.7859 0.0716  2 Pb 3.54, 4 Ac 3.54, 4 Bi 3.60
Bi: 0.2856 0.2856 0.0712  4 Ac 3.54, 2 Pb 3.55-3.56, 4 Bi 3.60
Bi: 0.7856 0.2857 0.0714  4 Ac 3.54-3.56, 2 Pb 3.54, 4 Bi 3.60
Bi: 0.2857 0.7856 0.0714  4 Ac 3.54-3.56, 2 Pb 3.54, 4 Bi 3.60
Pb: 0.7858 0.7858 0.5715  8 Bi 3.54-3.56, 4 Ac 3.60


No. 17
Entry from the Alexandria database: AlGaHg after structural relaxation (PBE-GGA).

Output
formation energy from the elements	0.14	eV/atom
N(E_F)	1.6	states/eV/cell

Cell: 3.2894 3.2894 6.1049 Å, 105.63 105.63 90.00°
Last column: nearest neighbours and their distance in Å.
Sites, in units of the cell vectors:
Hg: 0.0039 0.0039 0.0079  4 Al 3.04, 4 Ga 3.12, 4 Hg 3.29
Ga: 0.3191 0.3191 0.6382  4 Al 2.83, 4 Hg 3.12
Al: 0.6770 0.6770 0.3540  4 Ga 2.83, 4 Hg 3.04


No. 18
Entry from the Alexandria database: Pr4Cd2Co after structural relaxation (PBE-GGA).

Output
formation energy from the elements	-0.05	eV/atom
N(E_F)	9.6	states/eV/cell

Cell: 5.2638 5.2638 8.8679 Å, 72.74 72.74 90.00°
Last column: nearest neighbours and their distance in Å.
Sites, in units of the cell vectors:
Pr: 0.8242 0.8242 0.3517  1 Co 2.83, 1 Cd 3.13
Pr: 0.1758 0.1758 0.6483  1 Co 2.83, 1 Cd 3.13
Pr: 0.0000 0.5000 0.0000  2 Co 2.63
Pr: 0.5000 0.0000 0.0000  2 Co 2.63
Co: 0.0000 0.0000 0.0000  6 Pr 2.63-2.83
Cd: 0.6294 0.6294 0.7411  5 Pr 3.13-3.36
Cd: 0.3706 0.3706 0.2589  5 Pr 3.13-3.36


No. 19
Entry from the Alexandria database: LaPm3Tm2Te6 after structural relaxation (PBE-GGA).

Output
N(E_F)	7.1	states/eV/cell
raw formation energy	-1575	kJ/mol of formula units

Cell: 4.3926 8.9481 9.9321 Å, 103.44 102.78 90.00°
Last column: nearest neighbours and their distance in Å.
Sites, in units of the cell vectors:
La: 0.5000 0.0000 0.0000  6 Te 3.17-3.24
Pm: 0.5000 0.5000 0.0000  6 Te 3.11-3.22
Pm: 0.8405 0.1697 0.6810  6 Te 3.12-3.22
Pm: 0.1595 0.8303 0.3190  6 Te 3.12-3.22
Tm: 0.8349 0.6704 0.6697  6 Te 2.99-3.09
Tm: 0.1651 0.3296 0.3303  6 Te 2.99-3.09
Te: 0.3279 0.9052 0.6559  2 Tm 3.06, 3 Pm 3.17-3.20, 1 La 3.24
Te: 0.6709 0.5749 0.3419  3 Tm 3.09, 3 Pm 3.22
Te: 0.6721 0.0948 0.3441  2 Tm 3.06, 3 Pm 3.17-3.20, 1 La 3.24
Te: 0.0063 0.2583 0.0127  1 Tm 2.99, 3 Pm 3.11-3.12, 2 La 3.17
Te: 0.9937 0.7417 0.9873  1 Tm 2.99, 3 Pm 3.11-3.12, 2 La 3.17
Te: 0.3291 0.4251 0.6581  3 Tm 3.09, 3 Pm 3.22


No. 20
Entry from the Alexandria database: Mg2NiHg after structural relaxation (PBE-GGA).

Output
energy above the most stable polymorph in this dataset	0.35	eV/f.u.
formation energy from the elements	-0.09	eV/atom
N(E_F)	1.7	states/eV/cell

Cell: 4.4068 3.1141 5.5412 Å, 73.62 90.00 90.00°
Last column: nearest neighbours and their distance in Å.
Sites, in units of the cell vectors:
Hg: 0.5000 0.5579 0.7612  2 Ni 2.69, 7 Mg 2.87-2.90
Mg: 0.0000 0.9573 0.9624  1 Ni 2.70, 4 Hg 2.90
Mg: 0.5000 0.2847 0.3067  4 Ni 2.83-2.84, 3 Hg 2.87-2.90, 2 Mg 3.11
Ni: 0.0000 0.7001 0.4697  2 Hg 2.69, 5 Mg 2.70-2.84


| no. | M_tot (μB/cell) |
| --- | --- |
| 1 | 1.5 |
| 2 | 11.1 |
| 3 | 0.0 |
| 4 | 0.0 |
| 5 | 0.0 |
| 6 | 0.0 |
| 7 | 0.0 |
| 8 | 0.0 |
| 9 | 0.0 |
| 10 | 0.0 |
| 11 | 0.0 |
| 12 | 0.0 |
| 13 | 0.7 |
| 14 | 0.0 |
| 15 | 0.0 |
| 16 | 0.0 |
| 17 | 0.0 |
| 18 | 0.0 |
| 19 | 0.0 |
| 20 | 0.0 |